# 1
Below is a relaxed YBI2 crystal, with properties calculated at the PBE level.

Cell and atoms, written as POSCAR:
```
YBI2
1.0
7.506 0.000 0.000
0.000 7.506 0.000
0.000 0.000 7.506
Y B I
4 4 8
direct
0.000 0.000 0.000
0.000 0.500 0.500
0.500 0.000 0.500
0.500 0.500 0.000
0.000 0.000 0.500
0.000 0.500 0.000
0.500 0.000 0.000
0.500 0.500 0.500
0.250 0.250 0.250
0.250 0.250 0.750
0.250 0.750 0.250
0.250 0.750 0.750
0.750 0.250 0.250
0.750 0.250 0.750
0.750 0.750 0.250
0.750 0.750 0.750
```

As for the formation energy (no corrections): 1.8 eV per formula unit. Its total magnetic moment is 6.2 Bohr magnetons per cell. As for the energy above the most stable polymorph in this dataset: 0 meV per atom. Its space group is Fm-3m.



# 2
Below is a relaxed Y2BI crystal, with properties calculated at the PBE level.

Cell and atoms, written as POSCAR:
```
Y2BI
1.0
7.324 0.000 0.000
0.000 7.324 0.000
0.000 0.000 8.226
Y B I
8 4 4
direct
0.165 0.250 0.125
0.250 0.665 0.375
0.250 0.835 0.875
0.335 0.250 0.625
0.665 0.750 0.625
0.750 0.165 0.875
0.750 0.335 0.375
0.835 0.750 0.125
0.000 0.000 0.000
0.000 0.500 0.250
0.500 0.000 0.750
0.500 0.500 0.500
0.000 0.000 0.500
0.000 0.500 0.750
0.500 0.000 0.250
0.500 0.500 0.000
```

As for the formation energy (no corrections): -0.9 eV per formula unit. Its total magnetic moment is 0.0 Bohr magnetons per cell. As for the energy above the most stable polymorph in this dataset: 411 meV per atom. Its space group is I-42d.